Record 1
Pr2Dy4Tm5, relaxed, DFT PBE-GGA; energy above the lowest structure with this stoichiometry = 0.000 eV per atom; space group = C2/m
1.0
-1.8644 0.8236 2.9048
5.3146 -7.6399 1.2356
6.4149 9.1478 3.6853
Pr Dy Tm
2 4 5
Direct
0.8621 0.2702 0.8165
0.1379 0.7298 0.1835
0.7715 0.4535 0.3647
0.3129 0.3594 0.0933
0.2285 0.5465 0.6353
0.6871 0.6406 0.9067
0.9563 0.0928 0.2738
0.0437 0.9072 0.7262
0.5911 0.8198 0.4574
0.5000 0.0000 0.0000
0.4089 0.1802 0.5426

---

Record 2
Ca2MnH4, relaxed, DFT PBE-GGA; space group = I4/mmm
1.0
-3.3941 0.5287 -0.1390
-0.5396 -3.3800 0.3210
-2.1540 -0.6994 7.4236
H Ca Mn
4 2 1
Direct
0.8860 0.8860 0.2281
0.1140 0.1140 0.7719
0.0000 0.5000 0.0000
0.5000 0.0000 0.0000
0.6213 0.6213 0.7575
0.3787 0.3787 0.2425
0.0000 0.0000 0.0000

---

Record 3
NiTe2Cl, relaxed, DFT PBE-GGA; formation energy from raw total energies = -0.23 eV/atom; space group = P2/m
1.0
3.9313 0.0000 0.0000
0.0000 5.2267 0.3215
0.0000 3.3799 5.1083
Cl Ni Te
1 1 2
Direct
0.5000 0.2500 0.2500
0.5000 0.7500 0.7500
0.0000 0.9134 0.9102
0.0000 0.5866 0.5898

---

Record 4
BaScSe2Br, relaxed, DFT PBE-GGA; energy above the lowest structure with this stoichiometry = 1.566 eV per atom; formation energy from raw total energies = -0.20 eV/atom; space group = P4/mmm
1.0
-2.3242 -4.3819 3.3830
2.3361 -4.0119 -3.5915
4.9935 -0.0757 3.3326
Sc Se Ba Br
1 2 1 1
Direct
0.5000 0.5000 0.5000
0.0000 0.0000 0.5000
0.5000 0.0000 0.0000
0.0000 0.0000 0.0000
0.0000 0.5000 0.0000

---

Table of electronic total energy (eV/atom), in record order: -4.551; -4.098; -3.705; -3.578